No. 1
RbNi2Mo | PBE | optimized geometry

a = 7.3241 Å, b = 7.3241 Å, c = 7.4159 Å
α = 90.00°, β = 90.00°, γ = 90.00°
With the nearest neighbours (Å) after each atom.
Space group I-42d (No. 122)
One atom of each set of equivalent atoms:
Rb 0.0000 0.0000 0.0000 [4 per cell]  8 Ni 3.29-3.50
Ni 0.1489 0.7500 0.6250 [8 per cell]  2 Mo 2.32
Mo 0.0000 0.0000 0.5000 [4 per cell]  4 Ni 2.32

Values from the calculation:
- offset from the most stable computed form (eV/atom) = 0.000
- formation enthalpy at 0 K (meV per atom) = 1264

No. 2
CeDy2I8 | PBE | optimized geometry

a = 17.3016 Å, b = 9.6825 Å, c = 7.4416 Å
α = 90.00°, β = 90.65°, γ = 90.00°
With the nearest neighbours (Å) after each atom.
Space group C2/m (No. 12)
One atom of each set of equivalent atoms:
Ce 0.0000 0.0000 0.0000 [2 per cell]  6 I 3.22-3.25
Dy 0.1614 0.0000 0.6217 [4 per cell]  4 I 2.83-2.95
I 0.0724 0.2371 0.7498 [8 per cell]  1 Dy 2.93, 1 Ce 3.22
I 0.1623 0.0000 0.2254 [4 per cell]  1 Dy 2.95, 1 Ce 3.25
I 0.1816 0.5000 0.2692 [4 per cell]  1 Dy 2.83

Values from the calculation:
- formation energy (no corrections) (eV/atom) = -1.2004

Calculated volume, 24.9; 56.7 Å³/atom (same order as the records).
Calculated size of the total moment, 0.50; 0.18 μB per atom (same order as the records).